Density functional theory data (PBEsol) for Co2BiPI after structural relaxation.

Cell and atoms, written as CIF:
```
data_Co2BiPI
_symmetry_space_group_name_H-M 'P 4/m m m'
_symmetry_Int_Tables_number 123
_symmetry_space_group_name_Hall '-P 4 2'
_cell_length_a 4.565
_cell_length_b 4.565
_cell_length_c 5.307
_cell_angle_alpha 90.00
_cell_angle_beta 90.00
_cell_angle_gamma 90.00
loop_
_atom_site_label
_atom_site_type_symbol
_atom_site_fract_x
_atom_site_fract_y
_atom_site_fract_z
_atom_site_occupancy
Co1 Co 0.000 0.500 0.000 1
Bi1 Bi 0.000 0.000 0.500 1
P1 P 0.500 0.500 0.500 1
I1 I 0.500 0.500 0.000 1
```

formation energy (no corrections) = 629 kJ/mol of formula units
N(E_F) = 7.81 states/eV/f.u.